1.
Compound: Nd6Tm12Mg
Source: Alexandria via LeMat-Bulk
Functional: PBE-GGA
Structure: relaxed Values from VASP.

Computed properties:
Formation energy from the elements (eV/f.u.): 2.50
Mass density (g cm⁻³): 8.0
Uncorrected energy (eV/atom): -4.28
DOS(E_F) (states/eV/f.u.): 25.30

Structure (Quantum ESPRESSO input):
```
&SYSTEM
  ibrav = 0, nat = 19, ntyp = 3
/
ATOMIC_SPECIES
Tm 168.93 Tm.upf
Nd 144.24 Nd.upf
Mg 24.30 Mg.upf
CELL_PARAMETERS angstrom
8.3975 0.6797 0.8143
-0.6012 8.4035 0.8143
-0.6012 -0.7005 8.4138
ATOMIC_POSITIONS angstrom
Tm 5.7750 5.2484 9.4774
Tm 7.4146 6.9797 6.8575
Tm 1.4201 3.1344 0.5649
Tm 4.3022 1.9397 4.5242
Tm -0.2195 1.4030 3.1849
Nd 0.1947 5.7020 2.8175
Nd 5.6066 2.5833 1.5433
Tm 3.4051 4.8747 2.7169
Tm 5.9300 4.7439 4.7606
Tm 4.3122 8.1627 8.0928
Nd 1.5885 5.7995 8.4991
Tm 3.7900 3.5080 7.3254
Tm 1.2651 3.6389 5.2818
Tm 2.8929 6.4431 5.5182
Nd 1.7034 0.4582 6.1137
Mg 0.0000 0.0000 0.0000
Tm 2.8828 0.2201 1.9496
Nd 5.4916 7.9246 3.9287
Nd 7.0004 2.6808 7.2249
```


2.
Compound: NdTmMg17
Source: Alexandria via LeMat-Bulk
Functional: PBE-GGA
Structure: relaxed Values from VASP.

Computed properties:
Formation energy from the elements (eV/f.u.): -0.44
Mass density (g cm⁻³): 2.6
Uncorrected energy (eV/atom): -1.94
DOS(E_F) (states/eV/f.u.): 8.47

Structure (Quantum ESPRESSO input):
```
&SYSTEM
  ibrav = 0, nat = 19, ntyp = 3
/
ATOMIC_SPECIES
Mg 24.30 Mg.upf
Nd 144.24 Nd.upf
Tm 168.93 Tm.upf
CELL_PARAMETERS angstrom
7.7273 0.0708 0.9908
0.8808 7.6773 0.9908
0.0786 0.0708 7.7902
ATOMIC_POSITIONS angstrom
Mg 7.8396 7.0563 8.8189
Mg 0.3395 2.3680 5.7194
Mg 3.0954 2.7861 7.2731
Mg 8.6154 7.7546 5.8931
Mg 5.1818 1.3536 5.8291
Mg 5.5676 5.0113 2.5596
Mg 2.3905 0.0893 5.7194
Mg 3.4903 6.5303 3.9262
Mg 1.8896 5.0113 5.8291
Nd 5.8195 5.2380 6.5464
Mg 5.3999 0.0893 3.0442
Tm 2.8511 2.5662 3.2072
Mg 2.9465 5.3608 1.0073
Mg 0.6551 5.3608 3.0442
Mg 6.8603 2.7861 3.9262
Mg 5.6402 2.3680 1.0073
Mg 0.8791 0.7913 0.9889
Mg 8.2198 4.0030 9.2466
Mg 4.8430 7.7546 9.2466
```